Record 1
Compound: TaCdO3
Source: Alexandria
Functional: PBE
Structure: relaxed

Cell and atoms, written as POSCAR:
```
TaCdO3
1.0
4.0505 0.0000 0.0000
0.0000 4.0505 0.0000
0.0000 0.0000 4.0505
Ta Cd O
1 1 3
Cartesian
0.0000 0.0000 0.0000
2.0253 2.0253 2.0253
0.0000 2.0253 2.0253
2.0253 0.0000 2.0253
2.0253 2.0253 0.0000
```

Calculated values
* size of the total moment: 0.00 μB per atom
* Fermi-level density of states: 8.29 states/eV/f.u.
* SG: Pm-3m, No. 221
* final energy: -25.9 eV per cell

---

Record 2
Compound: BaZr2Ru
Source: Alexandria
Functional: PBE
Structure: relaxed

Cell and atoms, written as POSCAR:
```
BaZr2Ru
1.0
3.4066 0.0000 0.0000
0.0000 4.2053 0.0000
-0.0188 0.0000 7.6783
Ba Zr Ru
1 2 1
Cartesian
0.0000 0.0000 0.0000
1.6345 2.1027 5.0115
3.3359 0.0000 3.3716
1.6428 2.1027 2.5756
```

Calculated values
* energy above the most stable polymorph in this dataset: 104 meV/atom
* size of the total moment: 0.00 μB per atom
* Fermi-level density of states: 3.85 states/eV/f.u.
* SG: Pm, No. 6
* final energy: -27.6 eV per cell
* energy relative to the elements: 0.18 eV per atom

---

Record 3
Compound: SmTm5Bi6
Source: Alexandria
Functional: PBE
Structure: relaxed

Cell and atoms, written as POSCAR:
```
SmTm5Bi6
1.0
3.8585 -6.6834 0.0000
3.8585 6.6834 0.0000
-2.5750 0.0000 7.2739
Sm Tm Bi
1 5 6
Cartesian
0.0000 0.0000 0.0000
2.5710 4.4927 3.6369
3.8585 2.2419 0.0000
2.5710 0.0000 3.6369
3.8585 -2.2419 0.0000
2.5710 -4.4927 3.6369
1.3068 2.2611 1.8472
0.0418 0.0000 5.4479
1.3068 -2.2611 1.8472
3.8352 2.2611 5.4267
5.1002 0.0000 1.8260
3.8352 -2.2611 5.4267
```

Calculated values
* size of the total moment: 0.00 μB per atom
* Fermi-level density of states: 2.15 states/eV/f.u.
* SG: C2/m, No. 12
* final energy: -60.0 eV per cell
* energy relative to the elements: -0.80 eV per atom

---

Record 4
Compound: SrY2MgC
Source: Alexandria
Functional: PBE
Structure: relaxed

Cell and atoms, written as POSCAR:
```
SrY2MgC
1.0
4.9454 0.0000 0.0000
0.0000 4.9454 0.0000
0.0000 0.0000 5.6266
Sr Y Mg C
1 2 1 1
Cartesian
0.0000 0.0000 0.0000
0.0000 2.4727 2.8133
2.4727 0.0000 2.8133
2.4727 2.4727 0.0000
0.0000 0.0000 2.8133
```

Calculated values
* size of the total moment: 0.00 μB per atom
* Fermi-level density of states: 3.99 states/eV/f.u.
* SG: P4/mmm, No. 123
* final energy: -25.5 eV per cell
* energy relative to the elements: -0.01 eV per atom